## ScNiF3 (PBE with a Hubbard U)

Data for crystalline ScNiF3 at its relaxed geometry.

Values from the calculation:
- Mass density: 3.6 Mg/m³
- Excess energy over the best structure of this formula in the dataset: 0 meV per atom

a = 4.210 Å, b = 4.210 Å, c = 4.210 Å
α = 90.00°, β = 90.00°, γ = 90.00°
Space group Pm-3m (No. 221)
Asymmetric unit:
1 Sc 0.000 0.000 0.000 (multiplicity 1)
2 Ni 0.500 0.500 0.500 (multiplicity 1)
3 F 0.000 0.000 0.500 (multiplicity 3)